1.
{"formula": "EuPuTlPd", "functional": "PBE", "state": "optimized geometry", "total_energy_ev_per_atom": -8.273, "ef_mev_per_atom": -231.5, "space_group": "F-43m, No. 216", "cell": [[0.000, 3.747, 3.747], [3.747, 0.000, 3.747], [3.747, 3.747, 0.000]], "species": ["Eu", "Pu", "Tl", "Pd"], "fractional_positions": [[0.000, 0.000, 0.000], [0.500, 0.500, 0.500], [0.250, 0.250, 0.250], [0.750, 0.750, 0.750]]}

***

2.
{"formula": "EuPuZnPd", "functional": "PBE", "state": "optimized geometry", "total_energy_ev_per_atom": -8.030, "ef_mev_per_atom": -261.8, "space_group": "F-43m, No. 216", "cell": [[0.000, 3.619, 3.619], [3.619, 0.000, 3.619], [3.619, 3.619, 0.000]], "species": ["Eu", "Pu", "Zn", "Pd"], "fractional_positions": [[0.000, 0.000, 0.000], [0.500, 0.500, 0.500], [0.250, 0.250, 0.250], [0.750, 0.750, 0.750]]}

***

3.
{"formula": "Eu2PdRh", "functional": "PBE", "state": "optimized geometry", "total_energy_ev_per_atom": -8.751, "ef_mev_per_atom": -477.7, "space_group": "P4/mmm, No. 123", "cell": [[3.513, 0.000, 0.000], [0.000, 3.513, 0.000], [0.000, 0.000, 7.363]], "species": ["Eu", "Eu", "Pd", "Rh"], "fractional_positions": [[0.000, 0.000, 0.242], [0.000, 0.000, 0.758], [0.500, 0.500, 0.500], [0.500, 0.500, 0.000]]}

***

4.
{"formula": "EuScPdRh", "functional": "PBE", "state": "optimized geometry", "total_energy_ev_per_atom": -7.907, "ef_mev_per_atom": -619.6, "space_group": "F-43m, No. 216", "cell": [[0.000, 3.415, 3.415], [3.415, 0.000, 3.415], [3.415, 3.415, 0.000]], "species": ["Eu", "Sc", "Pd", "Rh"], "fractional_positions": [[0.000, 0.000, 0.000], [0.500, 0.500, 0.500], [0.250, 0.250, 0.250], [0.750, 0.750, 0.750]]}

***

5.
{"formula": "EuSnPdRh", "functional": "PBE", "state": "optimized geometry", "total_energy_ev_per_atom": -7.237, "ef_mev_per_atom": -531.6, "space_group": "F-43m, No. 216", "cell": [[0.000, 3.412, 3.412], [3.412, 0.000, 3.412], [3.412, 3.412, 0.000]], "species": ["Eu", "Sn", "Pd", "Rh"], "fractional_positions": [[0.000, 0.000, 0.000], [0.500, 0.500, 0.500], [0.250, 0.250, 0.250], [0.750, 0.750, 0.750]]}

***

6.
{"formula": "EuThPdRh", "functional": "PBE", "state": "optimized geometry", "total_energy_ev_per_atom": -8.203, "ef_mev_per_atom": -643.5, "space_group": "F-43m, No. 216", "cell": [[0.000, 3.575, 3.575], [3.575, 0.000, 3.575], [3.575, 3.575, 0.000]], "species": ["Eu", "Th", "Pd", "Rh"], "fractional_positions": [[0.000, 0.000, 0.000], [0.500, 0.500, 0.500], [0.250, 0.250, 0.250], [0.750, 0.750, 0.750]]}